Computed, not measured: a relaxed structure of Ac8NiRu3Br3 at the PBE level of DFT.

a = 8.625 Å, b = 8.628 Å, c = 9.655 Å
α = 116.60°, β = 89.99°, γ = 120.00°
Atoms (fractional coordinates):
1 Ni 0.000 0.000 0.500
2 Ac 0.272 0.040 0.309
3 Ac 0.768 0.536 0.309
4 Ac 0.268 0.535 0.304
5 Ac 0.728 0.960 0.691
6 Ac 0.768 0.041 0.309
7 Ac 0.232 0.959 0.691
8 Ac 0.732 0.465 0.696
9 Ac 0.232 0.464 0.691
10 Ru 0.500 0.000 0.500
11 Ru 0.000 0.500 0.500
12 Ru 0.500 0.500 0.500
13 Br 0.000 0.500 0.000
14 Br 0.000 0.000 0.000
15 Br 0.500 0.500 0.000

Summary:
formation energy from raw total energies	-0.70	eV per atom
symmetry	No. 12